No. 1
DFT (GGA-PBE) results for BaMgInPb2 after structural relaxation.

## Properties
Density (Mg/m³): 7.013
E_form (eV/atom): -0.33

Unit cell a=4.804 b=4.804 c=14.178 alpha=90.00 beta=90.00 gamma=90.00
Space group I-4m2 (No. 119)
Asymmetric unit:
Ba 0.000 0.000 0.000
Mg 0.000 0.500 0.750
In 0.000 0.500 0.250
Pb 0.000 0.000 0.386

=====

No. 2
DFT (GGA-PBE) results for Ba2MgIn6Pb after structural relaxation.

## Properties
Density (Mg/m³): 5.912
E_form (eV/atom): -0.18

Unit cell a=7.5378 b=7.5378 c=40.9314 alpha=90.00 beta=90.00 gamma=120.00
Space group R-3m (No. 166, hexagonal axes)
Asymmetric unit:
Ba 0.0000 0.0000 0.1059
Ba 0.0000 0.0000 0.2779
Mg 0.0000 0.0000 0.0000
Mg 0.0000 0.0000 0.5000
In 0.0602 0.5301 0.3052
In 0.0690 0.5345 0.8610
Pb 0.0000 0.0000 0.4255